{
  "formula": "Mg3CoO4",
  "functional": "PBE+U",
  "state": "optimized geometry",
  "mass_density_g_cm3": 4.26,
  "sg": "No. 221",
  "dos_ef_per_ev_cell": 5.486,
  "dft_energy_ev_per_atom": -5.8972,
  "lattice": [[4.241, 0.000, 0.000], [0.000, 4.241, 0.000], [0.000, 0.000, 4.241]],
  "species": ["Mg", "Mg", "Mg", "Co", "O", "O", "O", "O"],
  "fractional_positions": [[0.000, 0.000, 0.500], [0.000, 0.500, 0.000], [0.500, 0.000, 0.000], [0.500, 0.500, 0.500], [0.000, 0.000, 0.000], [0.000, 0.500, 0.500], [0.500, 0.000, 0.500], [0.500, 0.500, 0.000]]
}